Record 1
The following is a DFT calculation (PBE) of a relaxed structure of RbAgTe2WSe.

a b c (Å): 8.399 8.399 10.488
angles (deg): 90.00 90.00 151.31
Site moments in Bohr magnetons follow the coordinates.
Element x y z (fractional)
Ag (0.039, 0.961, 0.250)  0.01
Ag (0.961, 0.039, 0.750)  0.01
Rb (0.744, 0.256, 0.250)  0.00
Rb (0.256, 0.744, 0.750)  0.00
Se (0.440, 0.560, 0.250)  -0.06
Se (0.560, 0.440, 0.750)  -0.06
Te (0.117, 0.883, 0.022)  -0.04
Te (0.117, 0.883, 0.478)  -0.04
Te (0.883, 0.117, 0.522)  -0.04
Te (0.883, 0.117, 0.978)  -0.04
W (0.500, 0.500, 0.000)  1.70
W (0.500, 0.500, 0.500)  1.70

Values from the calculation:
E_tot, eV/cell: -54.393
M_tot, μB/cell: 3.99

---

Record 2
The following is a DFT calculation (PBE) of a relaxed structure of LiZrBiOs.

a b c (Å): 4.694 4.694 4.694
angles (deg): 60.00 60.00 60.00
Element x y z (fractional)
Bi (0.250, 0.250, 0.250)
Li (0.750, 0.750, 0.750)
Os (0.500, 0.500, 0.500)
Zr (0.000, 0.000, 0.000)

Values from the calculation:
Distance to the lowest polymorph of the same formula, eV/f.u.: 2.07
M_tot, μB/cell: 0.00